First-principles (GGA-PBE) data for a relaxed Ca4Ac3Tl4 crystal, as listed in the Alexandria database.

Cell lengths 10.081, 10.081, 10.081 Å; angles 148.98, 132.48, 57.83 degrees
Fractional coordinates of all 11 atoms:
Ca  0.036  0.822  0.214
Ca  0.392  0.178  0.214
Ca  0.608  0.822  0.786
Ca  0.964  0.178  0.786
Ac  0.000  0.500  0.500
Ac  0.393  0.393  0.000
Ac  0.607  0.607  0.000
Tl  0.201  0.701  0.500
Tl  0.305  0.000  0.305
Tl  0.695  0.000  0.695
Tl  0.799  0.299  0.500

Values from the calculation:
Fermi-level density of states in states/eV/f.u.: 8.4
Total moment in μB/cell: 0.000
Energy of formation from the pure elements in eV per atom: -0.305